# 1
Sc2MoIr | Alexandria | meta-GGA SCAN | single point on PBEsol structure; crystal system = trigonal; formation enthalpy at 0 K = 0.084 eV per atom; Fermi-level density of states = 2.3 states/eV/f.u.; spin magnetization = 0.0 μB per cell
1.0
2.952 0.000 0.000
1.476 2.556 0.000
1.476 0.852 9.465
Sc Mo Ir
2 1 1
Cartesian
4.427 2.556 6.813
4.427 2.556 0.224
1.476 0.852 2.548
2.952 1.704 4.613

***

# 2
HoSeO3F | Alexandria | meta-GGA SCAN | single point on PBEsol structure; crystal system = monoclinic; formation energy without anion corrections = -2626 meV per atom; Fermi-level density of states = 0.0 states/eV/f.u.; spin magnetization = 0.0 μB per cell
1.0
-0.720 6.033 2.418
-6.748 -0.746 -0.146
0.270 -3.629 6.078
F O Ho Se
4 12 4 4
Cartesian
-0.725 -0.948 3.584
-4.450 1.000 7.846
-6.472 2.606 4.767
-2.748 0.658 0.504
-4.115 3.304 4.059
-5.348 -2.389 5.075
-6.870 1.170 7.035
-1.400 -0.345 6.393
-2.460 2.150 6.298
-1.849 4.047 3.275
-2.342 1.380 3.336
-5.797 2.003 1.957
-4.856 0.278 5.014
-3.082 -1.646 4.292
-4.737 -0.492 2.052
-0.328 0.488 1.315
-2.428 -0.612 2.248
-4.769 2.270 6.102
-0.834 -2.265 5.319
-6.363 3.923 3.031
-2.993 2.846 2.763
-4.204 -1.188 5.588
-1.060 1.230 5.841
-6.137 0.427 2.510

***

# 3
TcAg2Sb | Alexandria | meta-GGA SCAN | single point on PBEsol structure; crystal system = monoclinic; formation energy without anion corrections = 347 meV per atom; Fermi-level density of states = 1.6 states/eV/f.u.; spin magnetization = 0.6 μB per cell
1.0
3.101 0.000 0.000
0.000 4.471 -0.003
0.000 -1.235 4.944
Ag Tc Sb
2 1 1
Cartesian
1.551 2.235 -0.001
0.000 0.000 0.000
0.000 1.618 2.471
1.551 -0.618 2.472

***

# 4
Cd2HgMo | Alexandria | meta-GGA SCAN | single point on PBEsol structure; crystal system = monoclinic; formation enthalpy at 0 K = 0.442 eV per atom; Fermi-level density of states = 1.9 states/eV/f.u.; spin magnetization = 0.0 μB per cell
1.0
2.867 0.000 0.000
-1.434 4.982 0.002
0.000 -1.035 5.227
Cd Mo Hg
2 1 1
Cartesian
0.000 1.709 3.966
0.000 0.027 0.023
1.434 2.214 1.345
0.000 4.461 2.510

***

# 5
SrTlN2F | Alexandria | meta-GGA SCAN | single point on PBEsol structure; crystal system = tetragonal; formation energy without anion corrections = -168 meV per atom; Fermi-level density of states = 1.2 states/eV/f.u.; spin magnetization = 1.3 μB per cell
1.0
-2.378 0.851 -3.360
2.235 -2.738 -2.275
-2.921 -3.389 1.209
F Tl N Sr
1 1 2 1
Cartesian
-1.461 -1.694 0.605
0.000 0.000 0.000
1.117 -1.369 -1.138
-1.189 0.426 -1.680
-1.532 -2.638 -2.213

***

# 6
RbC2SCl | Alexandria | meta-GGA SCAN | single point on PBEsol structure; crystal system = tetragonal; formation energy without anion corrections = 1468 meV per atom; Fermi-level density of states = 1.1 states/eV/f.u.; spin magnetization = 1.7 μB per cell
1.0
-3.408 -1.916 0.288
1.295 -2.686 -2.545
2.623 -3.854 5.403
Rb S Cl C
1 1 1 2
Cartesian
1.311 -1.927 2.702
0.000 0.000 0.000
0.255 -4.228 1.573
-1.704 -0.958 0.144
0.648 -1.343 -1.272

***

# 7
GeB3Ru | Alexandria | meta-GGA SCAN | single point on PBEsol structure; crystal system = cubic; formation enthalpy at 0 K = 1.192 eV per atom; Fermi-level density of states = 3.3 states/eV/f.u.; spin magnetization = 0.7 μB per cell
1.0
4.056 0.000 0.000
0.000 4.056 0.000
0.000 0.000 4.056
Ge B Ru
1 3 1
Cartesian
2.028 2.028 2.028
0.000 0.000 2.028
0.000 2.028 0.000
2.028 0.000 0.000
0.000 0.000 0.000

***

# 8
Fe23C6 | Alexandria | meta-GGA SCAN | single point on PBEsol structure; crystal system = cubic; formation enthalpy at 0 K = 0.060 eV per atom; Fermi-level density of states = 16.4 states/eV/f.u.; spin magnetization = 53.1 μB per cell
1.0
7.273 0.000 0.000
3.637 6.299 0.000
3.637 2.100 5.939
Fe C
23 6
Cartesian
2.461 0.000 0.000
3.637 4.878 2.009
7.273 2.243 3.661
5.579 5.177 3.661
1.230 2.131 0.000
7.273 6.156 2.278
5.579 3.221 2.278
6.043 0.710 2.009
2.406 1.389 3.930
0.000 0.000 0.000
2.406 4.168 0.000
7.273 4.199 5.044
4.867 1.389 3.930
8.968 3.221 2.278
7.273 4.199 0.894
10.910 6.299 4.454
3.637 2.100 1.485
3.637 3.520 3.930
1.230 0.710 2.009
4.867 4.168 0.000
6.043 2.131 0.000
8.968 5.177 3.661
4.813 0.000 0.000
7.273 2.321 1.641
7.273 6.078 4.298
8.900 5.138 1.641
5.646 3.260 4.298
5.646 5.138 1.641
8.900 3.260 4.298

***

# 9
Ti2CdInBr | Alexandria | meta-GGA SCAN | single point on PBEsol structure; crystal system = tetragonal; formation energy without anion corrections = 942 meV per atom; Fermi-level density of states = 3.6 states/eV/f.u.; spin magnetization = 4.9 μB per cell
1.0
5.153 0.000 0.000
0.000 5.153 0.000
0.000 0.000 5.334
Cd Ti In Br
1 2 1 1
Cartesian
0.000 0.000 0.000
0.000 2.576 0.000
2.576 0.000 0.000
2.576 2.576 2.667
0.000 0.000 2.667

***

# 10
PtSe3F | Alexandria | meta-GGA SCAN | single point on PBEsol structure; crystal system = cubic; formation energy without anion corrections = 986 meV per atom; Fermi-level density of states = 5.3 states/eV/f.u.; spin magnetization = 1.6 μB per cell
1.0
4.488 0.000 0.000
0.000 4.488 0.000
0.000 0.000 4.488
Se F Pt
3 1 1
Cartesian
2.244 0.000 0.000
0.000 2.244 0.000
0.000 0.000 2.244
0.000 0.000 0.000
2.244 2.244 2.244

***

# 11
Cr4TcBr | Alexandria | meta-GGA SCAN | single point on PBEsol structure; crystal system = cubic; formation energy without anion corrections = 925 meV per atom; Fermi-level density of states = 7.5 states/eV/f.u.; spin magnetization = 0.0 μB per cell
1.0
4.786 0.000 0.000
2.393 4.145 0.000
2.393 1.382 3.908
Cr Tc Br
4 1 1
Cartesian
4.786 2.763 3.424
3.586 2.070 1.464
5.987 2.070 1.464
4.786 4.150 1.464
7.180 4.145 2.931
0.000 0.000 0.000

***

# 12
Sr2MoRh | Alexandria | meta-GGA SCAN | single point on PBEsol structure; offset from the most stable computed form = 392 meV/atom; crystal system = tetragonal; formation enthalpy at 0 K = 0.743 eV per atom; Fermi-level density of states = 2.5 states/eV/f.u.; spin magnetization = 4.1 μB per cell
1.0
-3.694 0.682 -3.150
-1.235 -1.759 4.882
-2.049 3.201 3.096
Mo Sr Rh
1 2 1
Cartesian
-2.871 1.941 -0.027
-4.925 2.033 2.401
-2.053 0.091 2.428
0.000 0.000 0.000

***

# 13
RePt5 | Alexandria | meta-GGA SCAN | single point on PBEsol structure; offset from the most stable computed form = 0 meV/atom; crystal system = tetragonal; formation enthalpy at 0 K = -0.067 eV per atom; Fermi-level density of states = 7.2 states/eV/f.u.; spin magnetization = 0.0 μB per cell
1.0
-0.360 2.367 -1.326
-2.089 0.612 1.659
7.526 5.346 7.500
Pt Re
5 1
Cartesian
1.196 0.850 1.192
6.330 4.496 6.308
3.763 2.673 3.750
3.804 5.061 5.177
1.274 3.264 2.656
-1.224 1.490 0.167

***

# 14
GaSBrN2 | Alexandria | meta-GGA SCAN | single point on PBEsol structure; crystal system = tetragonal; formation energy without anion corrections = 1935 meV per atom; Fermi-level density of states = 1.7 states/eV/f.u.; spin magnetization = 1.1 μB per cell
1.0
-0.831 3.570 0.373
-2.657 -0.354 -2.528
-4.366 -1.518 4.801
S Br N Ga
1 1 2 1
Cartesian
-2.183 -0.759 2.401
0.000 0.000 0.000
-0.415 1.785 0.187
-1.328 -0.177 -1.264
-3.927 0.849 1.323

***

# 15
ZrMo2BrN | Alexandria | meta-GGA SCAN | single point on PBEsol structure; crystal system = tetragonal; formation energy without anion corrections = 2346 meV per atom; Fermi-level density of states = 5.1 states/eV/f.u.; spin magnetization = 0.0 μB per cell
1.0
4.481 0.000 0.000
0.000 4.481 0.000
0.000 0.000 4.921
Zr Mo N Br
1 2 1 1
Cartesian
0.000 0.000 2.461
2.241 0.000 0.000
0.000 2.241 0.000
2.241 2.241 2.461
0.000 0.000 0.000

***

# 16
MoPS2Br | Alexandria | meta-GGA SCAN | single point on PBEsol structure; crystal system = tetragonal; formation energy without anion corrections = 195 meV per atom; Fermi-level density of states = 2.6 states/eV/f.u.; spin magnetization = 0.0 μB per cell
1.0
4.518 0.000 0.000
0.000 4.518 0.000
0.000 0.000 4.933
Br P Mo S
1 1 1 2
Cartesian
2.259 2.259 2.467
0.000 0.000 2.467
0.000 0.000 0.000
2.259 0.000 0.000
0.000 2.259 0.000

***

# 17
SrCa7TiMn7O24 | Alexandria | meta-GGA SCAN | single point on PBEsol structure; crystal system = trigonal; formation energy without anion corrections = -2745 meV per atom; spin magnetization = 21.0 μB per cell
1.0
7.511 0.025 0.025
0.027 7.511 0.025
0.027 0.027 7.511
Ca O Mn Ti Sr
7 24 7 1 1
Cartesian
1.971 5.746 1.969
5.746 1.970 1.969
1.971 1.971 5.745
5.742 5.740 1.985
5.742 1.986 5.740
5.728 5.727 5.726
1.987 5.741 5.740
3.785 3.784 5.699
7.463 1.890 3.741
5.658 3.718 7.493
7.482 5.661 7.479
5.658 7.494 3.717
7.463 3.742 1.890
5.701 3.784 3.783
1.892 7.463 3.741
7.486 1.897 7.484
3.785 5.700 3.783
1.870 3.786 3.785
3.786 1.869 3.785
7.486 7.485 1.896
3.720 5.657 7.493
3.720 7.494 5.655
3.743 1.891 7.462
7.495 5.656 3.717
5.663 7.481 7.479
1.892 3.743 7.462
3.743 7.463 1.890
7.495 3.718 5.655
1.899 7.486 7.484
3.786 3.785 1.868
7.482 7.481 5.659
3.820 3.819 0.060
3.820 0.061 3.819
3.820 0.051 0.051
0.041 0.041 0.041
0.061 3.820 3.819
0.052 3.820 0.051
0.052 0.052 3.819
3.829 3.828 3.827
1.905 1.905 1.904

***

# 18
In | Alexandria | meta-GGA SCAN | single point on PBEsol structure; offset from the most stable computed form = 89 meV/atom; crystal system = cubic; formation enthalpy at 0 K = 0.089 eV per atom; Fermi-level density of states = 0.4 states/eV/f.u.; spin magnetization = 0.0 μB per cell
1.0
-0.397 -5.808 -1.059
3.930 -1.052 4.297
-4.406 -0.415 3.928
In
8
Cartesian
0.725 -5.737 3.275
-0.737 -6.143 6.050
-1.598 -1.539 3.890
-2.627 -4.521 4.101
-1.165 -4.115 1.327
1.754 -2.754 3.064
0.293 -3.160 5.839
-0.136 -1.133 1.116

***

# 19
SrCa2Cl | Alexandria | meta-GGA SCAN | single point on PBEsol structure; offset from the most stable computed form = 0 meV/atom; crystal system = monoclinic; formation energy without anion corrections = -838 meV per atom; Fermi-level density of states = 3.5 states/eV/f.u.; spin magnetization = 0.0 μB per cell
1.0
-3.120 -0.133 2.273
3.390 -3.430 4.453
-0.065 6.539 0.293
Ca Cl Sr
2 1 1
Cartesian
2.903 1.497 4.072
0.422 1.611 0.674
0.102 1.488 3.510
0.135 -1.782 3.363

***

# 20
ScNi2Os | Alexandria | meta-GGA SCAN | single point on PBEsol structure; offset from the most stable computed form = 0 meV/atom; crystal system = orthorhombic; formation enthalpy at 0 K = -0.165 eV per atom; Fermi-level density of states = 2.7 states/eV/f.u.; spin magnetization = 0.0 μB per cell
1.0
2.658 0.000 0.000
0.000 4.537 0.000
0.000 -1.394 4.318
Ni Sc Os
2 1 1
Cartesian
0.000 -0.697 2.159
0.000 2.269 0.000
1.329 0.000 0.000
1.329 1.571 2.159